[1]
{"formula": "KTlC2", "functional": "PBE-GGA", "state": "optimized geometry", "formation_enthalpy_0k_ev_per_atom": 2.123, "magnetic_moment_mub_per_atom": 0.00, "polymorph_energy_ev_per_atom": 0.0000, "energy_ev_per_cell": -26.84, "spacegroup": "I4_1/amd, No. 141", "lattice": [[-4.066, -1.276, 1.998], [-1.964, -0.408, -4.258], [-0.829, -8.273, -1.427]], "species": ["C", "C", "C", "C", "K", "K", "Tl", "Tl"], "fractional_positions": [[0.875, 0.625, 0.250], [0.875, 0.125, 0.250], [0.375, 0.125, 0.750], [0.875, 0.125, 0.750], [0.250, 0.750, 0.500], [0.500, 0.500, 0.000], [0.750, 0.250, 0.500], [0.000, 0.000, 0.000]]}

***

[2]
{"formula": "KTl2C", "functional": "PBE-GGA", "state": "optimized geometry", "formation_enthalpy_0k_ev_per_atom": 1.318, "magnetic_moment_mub_per_atom": 0.00, "polymorph_energy_ev_per_atom": 0.3950, "energy_ev_per_cell": -9.78, "spacegroup": "Fm-3m, No. 225", "lattice": [[4.306, -2.915, 0.427], [2.853, 0.185, 4.364], [0.073, -4.086, 3.244]], "species": ["Tl", "Tl", "C", "K"], "fractional_positions": [[0.750, 0.750, 0.750], [0.250, 0.250, 0.250], [0.000, 0.000, 0.000], [0.500, 0.500, 0.500]]}

***

[3]
{"formula": "KTlC", "functional": "PBE-GGA", "state": "optimized geometry", "formation_enthalpy_0k_ev_per_atom": 0.352, "magnetic_moment_mub_per_atom": 0.00, "energy_ev_per_cell": -23.26, "spacegroup": "Cm, No. 8", "lattice": [[-3.521, 0.191, 6.052], [-1.122, -3.245, -1.791], [3.420, -5.535, 3.705]], "species": ["K", "K", "Tl", "Tl", "C", "C"], "fractional_positions": [[0.656, 0.220, 0.272], [0.224, 0.665, 0.950], [0.160, 0.361, 0.496], [0.732, 0.520, 0.749], [0.906, 0.773, 0.416], [0.032, 0.920, 0.248]]}

***

[4]
{"formula": "KTlC", "functional": "PBE-GGA", "state": "optimized geometry", "formation_enthalpy_0k_ev_per_atom": 0.298, "magnetic_moment_mub_per_atom": 0.00, "energy_ev_per_cell": -23.59, "spacegroup": "P-1, No. 2", "lattice": [[-0.317, 2.734, -6.414], [3.358, -1.677, -0.891], [-3.401, -4.837, -3.642]], "species": ["C", "C", "Tl", "Tl", "K", "K"], "fractional_positions": [[0.042, 0.936, 0.233], [0.904, 0.937, 0.144], [0.638, 0.939, 0.984], [0.309, 0.934, 0.393], [0.192, 0.434, 0.908], [0.755, 0.438, 0.469]]}

***

[5]
{"formula": "KTl3C", "functional": "PBE-GGA", "state": "optimized geometry", "formation_enthalpy_0k_ev_per_atom": 0.839, "magnetic_moment_mub_per_atom": 0.00, "polymorph_energy_ev_per_atom": 0.0000, "energy_ev_per_cell": -13.23, "spacegroup": "Pm-3m, No. 221", "lattice": [[-1.600, -0.258, -5.008], [-3.410, -3.798, 1.285], [-3.676, 3.635, 0.987]], "species": ["Tl", "Tl", "Tl", "K", "C"], "fractional_positions": [[0.500, 0.000, 0.000], [0.000, 0.000, 0.500], [0.000, 0.500, 0.000], [0.500, 0.500, 0.500], [0.000, 0.000, 0.000]]}

***

[6]
{"formula": "KTlC", "functional": "PBE-GGA", "state": "optimized geometry", "formation_enthalpy_0k_ev_per_atom": 1.148, "magnetic_moment_mub_per_atom": 0.04, "energy_ev_per_cell": -36.97, "spacegroup": "Pnma, No. 62", "lattice": [[6.167, 0.000, 0.000], [0.000, 4.490, 0.000], [0.000, 0.000, 11.751]], "species": ["C", "C", "C", "C", "Tl", "Tl", "Tl", "Tl", "K", "K", "K", "K"], "fractional_positions": [[0.882, 0.250, 0.077], [0.618, 0.750, 0.577], [0.118, 0.750, 0.923], [0.382, 0.250, 0.423], [0.071, 0.250, 0.895], [0.571, 0.250, 0.605], [0.429, 0.750, 0.395], [0.929, 0.750, 0.105], [0.911, 0.250, 0.354], [0.589, 0.750, 0.854], [0.089, 0.750, 0.646], [0.411, 0.250, 0.146]]}

***

[7]
{"formula": "KTlC", "functional": "PBE-GGA", "state": "optimized geometry", "formation_enthalpy_0k_ev_per_atom": 0.266, "magnetic_moment_mub_per_atom": 0.00, "energy_ev_per_cell": -23.78, "spacegroup": "Amm2, No. 38", "lattice": [[4.542, 0.000, 0.000], [0.000, 1.934, -9.897], [0.000, 1.934, 9.897]], "species": ["Tl", "Tl", "C", "C", "K", "K"], "fractional_positions": [[0.000, 0.166, 0.834], [0.500, 0.588, 0.412], [0.500, 0.467, 0.533], [0.500, 0.403, 0.597], [0.500, 0.795, 0.205], [0.000, 0.957, 0.043]]}

***

[8]
{"formula": "KTlC2", "functional": "PBE-GGA", "state": "optimized geometry", "formation_enthalpy_0k_ev_per_atom": 2.385, "magnetic_moment_mub_per_atom": 0.00, "polymorph_energy_ev_per_atom": 0.2628, "energy_ev_per_cell": -12.37, "spacegroup": "Fm-3m, No. 225", "lattice": [[-1.350, -4.061, 1.652], [-2.446, -0.201, 3.876], [-4.432, -1.175, -0.143]], "species": ["C", "C", "K", "Tl"], "fractional_positions": [[0.250, 0.250, 0.250], [0.750, 0.750, 0.750], [0.000, 0.000, 0.000], [0.500, 0.500, 0.500]]}

***

[9]
{"formula": "KTl2C", "functional": "PBE-GGA", "state": "optimized geometry", "formation_enthalpy_0k_ev_per_atom": 0.923, "magnetic_moment_mub_per_atom": 0.00, "polymorph_energy_ev_per_atom": 0.0000, "energy_ev_per_cell": -22.72, "spacegroup": "I-42d, No. 122", "lattice": [[-6.151, 0.344, -5.332], [2.268, -7.194, -3.081], [-3.941, -4.999, -2.002]], "species": ["C", "C", "K", "K", "Tl", "Tl", "Tl", "Tl"], "fractional_positions": [[0.500, 0.500, 0.000], [0.250, 0.750, 0.500], [0.750, 0.250, 0.500], [0.000, 0.000, 0.000], [0.875, 0.758, 0.750], [0.375, 0.492, 0.750], [0.242, 0.625, 0.250], [0.508, 0.125, 0.250]]}

***

[10]
{"formula": "KTlC", "functional": "PBE-GGA", "state": "optimized geometry", "formation_enthalpy_0k_ev_per_atom": 0.242, "magnetic_moment_mub_per_atom": 0.00, "energy_ev_per_cell": -23.92, "spacegroup": "C2/m, No. 12", "lattice": [[-4.985, -2.778, -12.771], [1.234, -2.871, -4.345], [0.302, -2.231, 4.855]], "species": ["K", "K", "Tl", "Tl", "C", "C"], "fractional_positions": [[0.328, 0.063, 0.937], [0.672, 0.937, 0.063], [0.023, 0.136, 0.864], [0.977, 0.864, 0.136], [0.403, 0.629, 0.371], [0.597, 0.371, 0.629]]}

***

[11]
{"formula": "K3TlC", "functional": "PBE-GGA", "state": "optimized geometry", "formation_enthalpy_0k_ev_per_atom": 1.584, "magnetic_moment_mub_per_atom": 0.00, "energy_ev_per_cell": -6.96, "spacegroup": "Pm-3m, No. 221", "lattice": [[6.602, 0.000, 0.000], [0.000, 6.602, 0.000], [0.000, 0.000, 6.602]], "species": ["C", "K", "K", "K", "Tl"], "fractional_positions": [[0.500, 0.500, 0.500], [0.000, 0.000, 0.500], [0.000, 0.500, 0.000], [0.500, 0.000, 0.000], [0.000, 0.000, 0.000]]}

***

[12]
{"formula": "KTlC", "functional": "PBE-GGA", "state": "optimized geometry", "formation_enthalpy_0k_ev_per_atom": 1.249, "magnetic_moment_mub_per_atom": 0.00, "energy_ev_per_cell": -17.88, "spacegroup": "P4/nmm, No. 129", "lattice": [[-0.700, 1.117, -4.205], [-1.461, -4.073, -0.839], [-6.656, 2.047, 1.652]], "species": ["K", "K", "C", "C", "Tl", "Tl"], "fractional_positions": [[0.500, 0.000, 0.869], [0.000, 0.500, 0.131], [0.500, 0.000, 0.305], [0.000, 0.500, 0.695], [0.500, 0.500, 0.500], [0.000, 0.000, 0.500]]}

***

[13]
{"formula": "KTlC", "functional": "PBE-GGA", "state": "optimized geometry", "formation_enthalpy_0k_ev_per_atom": 0.343, "magnetic_moment_mub_per_atom": 0.00, "energy_ev_per_cell": -23.32, "spacegroup": "Cm, No. 8", "lattice": [[-4.438, 2.727, 1.632], [-1.958, -4.192, -7.448], [0.838, -5.028, 1.553]], "species": ["C", "C", "K", "K", "Tl", "Tl"], "fractional_positions": [[0.851, 0.069, 0.929], [0.802, 0.920, 0.981], [0.195, 0.013, 0.674], [0.006, 0.410, 0.899], [0.480, 0.680, 0.576], [0.797, 0.658, 0.232]]}

***

[14]
{"formula": "KTlC", "functional": "PBE-GGA", "state": "optimized geometry", "formation_enthalpy_0k_ev_per_atom": 1.033, "magnetic_moment_mub_per_atom": 0.00, "energy_ev_per_cell": -9.59, "spacegroup": "P-6m2, No. 187", "lattice": [[3.452, -1.993, 0.000], [0.000, 3.986, 0.000], [0.000, 0.000, 5.339]], "species": ["Tl", "C", "K"], "fractional_positions": [[0.000, 0.000, 0.000], [0.333, 0.667, 0.000], [0.667, 0.333, 0.500]]}

***

[15]
{"formula": "KTlC", "functional": "PBE-GGA", "state": "optimized geometry", "formation_enthalpy_0k_ev_per_atom": 1.168, "magnetic_moment_mub_per_atom": 0.00, "energy_ev_per_cell": -36.74, "spacegroup": "Pnma, No. 62", "lattice": [[-0.758, -2.050, 7.554], [-4.125, -1.489, -0.818], [2.639, -6.491, -1.497]], "species": ["Tl", "Tl", "Tl", "Tl", "K", "K", "K", "K", "C", "C", "C", "C"], "fractional_positions": [[0.152, 0.750, 0.590], [0.348, 0.250, 0.090], [0.652, 0.750, 0.910], [0.848, 0.250, 0.410], [0.461, 0.250, 0.654], [0.539, 0.750, 0.346], [0.961, 0.250, 0.846], [0.039, 0.750, 0.154], [0.337, 0.750, 0.898], [0.837, 0.750, 0.602], [0.663, 0.250, 0.102], [0.163, 0.250, 0.398]]}

***

[16]
{"formula": "KTlC", "functional": "PBE-GGA", "state": "optimized geometry", "formation_enthalpy_0k_ev_per_atom": 1.106, "magnetic_moment_mub_per_atom": 0.00, "energy_ev_per_cell": -37.48, "spacegroup": "Pnma, No. 62", "lattice": [[-9.893, 1.963, 1.159], [-0.956, -6.227, 2.389], [1.091, 2.065, 5.819]], "species": ["C", "C", "C", "C", "Tl", "Tl", "Tl", "Tl", "K", "K", "K", "K"], "fractional_positions": [[0.071, 0.750, 0.828], [0.929, 0.250, 0.172], [0.429, 0.250, 0.328], [0.571, 0.750, 0.672], [0.000, 0.000, 0.000], [0.500, 0.500, 0.500], [0.000, 0.500, 0.000], [0.500, 0.000, 0.500], [0.347, 0.750, 0.989], [0.153, 0.250, 0.489], [0.847, 0.750, 0.511], [0.653, 0.250, 0.011]]}

***

[17]
{"formula": "KTlC", "functional": "PBE-GGA", "state": "optimized geometry", "formation_enthalpy_0k_ev_per_atom": 0.307, "magnetic_moment_mub_per_atom": 0.00, "energy_ev_per_cell": -23.53, "spacegroup": "P1, No. 1", "lattice": [[7.017, -0.018, -0.057], [-2.115, 6.747, 0.013], [2.574, 3.537, 4.131]], "species": ["Tl", "Tl", "K", "K", "C", "C"], "fractional_positions": [[0.484, 0.544, 0.156], [0.966, 0.063, 0.919], [0.233, 0.796, 0.553], [0.711, 0.317, 0.570], [0.169, 0.859, 0.026], [0.278, 0.750, 0.066]]}

***

[18]
{"formula": "KTlC", "functional": "PBE-GGA", "state": "optimized geometry", "formation_enthalpy_0k_ev_per_atom": 1.030, "magnetic_moment_mub_per_atom": 0.00, "energy_ev_per_cell": -19.20, "spacegroup": "P6_3mc, No. 186", "lattice": [[0.306, 0.782, 3.900], [-0.672, -3.732, -1.239], [10.480, -1.730, -0.475]], "species": ["K", "K", "Tl", "Tl", "C", "C"], "fractional_positions": [[0.000, 0.000, 0.755], [0.000, 0.000, 0.255], [0.333, 0.667, 0.003], [0.667, 0.333, 0.503], [0.333, 0.667, 0.491], [0.667, 0.333, 0.991]]}

***

[19]
{"formula": "KTlC", "functional": "PBE-GGA", "state": "optimized geometry", "formation_enthalpy_0k_ev_per_atom": 1.433, "magnetic_moment_mub_per_atom": 0.00, "energy_ev_per_cell": -16.78, "spacegroup": "P6_3/mmc, No. 194", "lattice": [[-5.915, 1.104, -0.622], [1.860, -4.937, 2.960], [0.050, 4.179, 6.939]], "species": ["C", "C", "K", "K", "Tl", "Tl"], "fractional_positions": [[0.000, 0.000, 0.000], [0.000, 0.000, 0.500], [0.667, 0.333, 0.750], [0.333, 0.667, 0.250], [0.000, 0.000, 0.750], [0.000, 0.000, 0.250]]}

***

[20]
{"formula": "KTl3C", "functional": "PBE-GGA", "state": "optimized geometry", "formation_enthalpy_0k_ev_per_atom": 2.047, "magnetic_moment_mub_per_atom": 0.00, "polymorph_energy_ev_per_atom": 1.2079, "energy_ev_per_cell": -7.19, "spacegroup": "Pm-3m, No. 221", "lattice": [[-6.112, -0.454, -0.206], [0.488, -5.966, -1.333], [-0.102, -1.345, 5.983]], "species": ["C", "K", "Tl", "Tl", "Tl"], "fractional_positions": [[0.500, 0.500, 0.500], [0.000, 0.000, 0.000], [0.000, 0.000, 0.500], [0.500, 0.000, 0.000], [0.000, 0.500, 0.000]]}

***

[21]
{"formula": "KTlC", "functional": "PBE-GGA", "state": "optimized geometry", "formation_enthalpy_0k_ev_per_atom": 0.357, "magnetic_moment_mub_per_atom": 0.00, "energy_ev_per_cell": -23.23, "spacegroup": "P-1, No. 2", "lattice": [[5.698, -0.147, -0.113], [2.279, 4.223, -0.282], [-1.919, -1.561, 7.487]], "species": ["C", "C", "K", "K", "Tl", "Tl"], "fractional_positions": [[0.032, 0.291, 0.261], [0.871, 0.292, 0.116], [0.233, 0.574, 0.057], [0.670, 0.009, 0.320], [0.135, 0.402, 0.613], [0.769, 0.181, 0.764]]}

***

[22]
{"formula": "KTm2C", "functional": "PBE-GGA", "state": "optimized geometry", "formation_enthalpy_0k_ev_per_atom": -0.049, "magnetic_moment_mub_per_atom": 0.04, "energy_ev_per_cell": -19.46, "spacegroup": "R-3m, No. 166", "lattice": [[3.569, 0.000, 0.000], [1.785, 3.091, 0.000], [1.785, 1.030, 10.412]], "species": ["K", "C", "Tm", "Tm"], "fractional_positions": [[0.000, 0.000, 0.000], [0.500, 0.500, 0.500], [0.875, 0.875, 0.374], [0.125, 0.125, 0.626]]}

***

[23]
{"formula": "KVC2", "functional": "PBE-GGA", "state": "optimized geometry", "formation_enthalpy_0k_ev_per_atom": 2.338, "magnetic_moment_mub_per_atom": 0.49, "polymorph_energy_ev_per_atom": 1.5648, "energy_ev_per_cell": -19.31, "spacegroup": "Fm-3m, No. 225", "lattice": [[0.000, 2.953, 2.953], [2.953, 0.000, 2.953], [2.953, 2.953, 0.000]], "species": ["K", "V", "C", "C"], "fractional_positions": [[0.000, 0.000, 0.000], [0.500, 0.500, 0.500], [0.250, 0.250, 0.250], [0.750, 0.750, 0.750]]}

***

[24]
{"formula": "K2VC", "functional": "PBE-GGA", "state": "optimized geometry", "formation_enthalpy_0k_ev_per_atom": 0.872, "magnetic_moment_mub_per_atom": 0.67, "energy_ev_per_cell": -34.10, "spacegroup": "I-42d, No. 122", "lattice": [[-3.594, -10.830, -4.146], [7.886, -5.465, 7.439], [0.780, -8.226, 3.036]], "species": ["C", "C", "K", "K", "K", "K", "V", "V"], "fractional_positions": [[0.250, 0.750, 0.500], [0.500, 0.500, 0.000], [0.375, 0.580, 0.750], [0.875, 0.670, 0.750], [0.420, 0.125, 0.250], [0.330, 0.625, 0.250], [0.000, 0.000, 0.000], [0.750, 0.250, 0.500]]}

***

[25]
{"formula": "K2V4C", "functional": "PBE-GGA", "state": "optimized geometry", "formation_enthalpy_0k_ev_per_atom": 0.789, "magnetic_moment_mub_per_atom": 0.49, "energy_ev_per_cell": -42.37, "spacegroup": "I4/mmm, No. 139", "lattice": [[3.996, 0.000, 0.000], [0.000, 3.996, 0.000], [1.998, 1.998, 11.943]], "species": ["C", "K", "K", "V", "V", "V", "V"], "fractional_positions": [[0.000, 0.000, 0.000], [0.672, 0.672, 0.656], [0.328, 0.328, 0.344], [0.000, 0.500, 0.000], [0.079, 0.079, 0.841], [0.921, 0.921, 0.159], [0.500, 0.000, 0.000]]}

***

[26]
{"formula": "KVC3", "functional": "PBE-GGA", "state": "optimized geometry", "formation_enthalpy_0k_ev_per_atom": 4.206, "magnetic_moment_mub_per_atom": 0.38, "polymorph_energy_ev_per_atom": 2.7292, "energy_ev_per_cell": -16.86, "spacegroup": "Pm-3m, No. 221", "lattice": [[-3.091, 2.134, 1.738], [-2.133, -3.509, 0.516], [1.740, -0.510, 3.720]], "species": ["V", "C", "C", "C", "K"], "fractional_positions": [[0.500, 0.500, 0.500], [0.500, 0.000, 0.000], [0.000, 0.000, 0.500], [0.000, 0.500, 0.000], [0.000, 0.000, 0.000]]}

***

[27]
{"formula": "KVC2", "functional": "PBE-GGA", "state": "optimized geometry", "formation_enthalpy_0k_ev_per_atom": 0.773, "magnetic_moment_mub_per_atom": 0.00, "polymorph_energy_ev_per_atom": 0.0000, "energy_ev_per_cell": -51.15, "spacegroup": "I-42d, No. 122", "lattice": [[6.092, 0.000, 0.000], [0.000, 6.092, 0.000], [3.046, 3.046, 4.358]], "species": ["V", "V", "C", "C", "C", "C", "K", "K"], "fractional_positions": [[0.750, 0.250, 0.500], [0.000, 0.000, 0.000], [0.902, 0.625, 0.250], [0.375, 0.152, 0.750], [0.875, 0.098, 0.750], [0.848, 0.125, 0.250], [0.250, 0.750, 0.500], [0.500, 0.500, 0.000]]}